Density functional theory data (PBE) for a relaxed structure of AcThRu2. Values from VASP.

ΔH_f (0 K)   -0.189 eV per atom
Space group   P4/mmm (123)
Polymorph energy (0 for the lowest one)   0 meV/atom
Density of states at the Fermi level   1.8 states/eV/f.u.

Quantum ESPRESSO input file:
```
&SYSTEM
  ibrav = 0, nat = 4, ntyp = 3
/
ATOMIC_SPECIES
Ac 227.00 Ac.upf
Th 232.04 Th.upf
Ru 101.07 Ru.upf
CELL_PARAMETERS angstrom
3.5687 0.0000 0.0000
0.0000 3.5687 0.0000
0.0000 0.0000 7.4676
ATOMIC_POSITIONS angstrom
Ac 0.0000 0.0000 0.0000
Th 0.0000 0.0000 3.7338
Ru 1.7843 1.7843 2.1536
Ru 1.7843 1.7843 5.3139
```

***

Density functional theory data (PBE) for a relaxed structure of Ce2Dy5Pt4. Values from VASP.

ΔH_f (0 K)   -0.809 eV per atom
Space group   C2/m (12)
Density of states at the Fermi level   13.4 states/eV/f.u.

Quantum ESPRESSO input file:
```
&SYSTEM
  ibrav = 0, nat = 11, ntyp = 3
/
ATOMIC_SPECIES
Ce 140.12 Ce.upf
Dy 162.50 Dy.upf
Pt 195.08 Pt.upf
CELL_PARAMETERS angstrom
10.9203 -2.3212 0.0000
10.9203 2.3212 0.0000
-1.5125 0.0000 5.7005
ATOMIC_POSITIONS angstrom
Ce 0.9883 0.0000 0.9915
Ce 19.3397 0.0000 4.7091
Dy 3.5747 0.0000 3.3290
Dy 7.5059 0.0000 0.2924
Dy 10.1640 0.0000 2.8503
Dy 12.8222 0.0000 5.4082
Dy 16.7534 0.0000 2.3715
Pt 0.7287 0.0000 4.0546
Pt 7.1335 0.0000 3.3417
Pt 13.1946 0.0000 2.3589
Pt 19.5994 0.0000 1.6459
```

***

Density functional theory data (PBE) for a relaxed structure of Zr3Pa5As8. Values from VASP.

ΔH_f (0 K)   -1.082 eV per atom
Space group   R-3m (166)
Density of states at the Fermi level   18.1 states/eV/f.u.

Quantum ESPRESSO input file:
```
&SYSTEM
  ibrav = 0, nat = 16, ntyp = 3
/
ATOMIC_SPECIES
Zr 91.22 Zr.upf
Pa 231.04 Pa.upf
As 74.92 As.upf
CELL_PARAMETERS angstrom
4.0338 2.3289 6.4852
-4.0338 2.3289 6.4852
0.0000 -4.6578 6.4852
ATOMIC_POSITIONS angstrom
Zr -2.0169 -1.1645 6.4852
Zr -2.0169 1.1645 12.9705
Zr 0.0000 2.3289 6.4852
Pa 0.0000 0.0000 0.0000
Pa -4.0338 0.0000 9.7279
Pa -2.0169 1.1645 3.2426
Pa 2.0169 1.1645 3.2426
Pa 0.0000 0.0000 9.7279
As 0.0000 -2.2794 8.0395
As -1.9740 1.1397 8.0395
As 0.0000 0.0000 4.9448
As -1.9740 -1.1397 11.4162
As 1.9740 1.1397 8.0395
As 0.0000 0.0000 14.5109
As 1.9740 -1.1397 11.4162
As 0.0000 2.2794 11.4162
```

***

Density functional theory data (PBE) for a relaxed structure of La2ZnGe. Values from VASP.

ΔH_f (0 K)   -0.244 eV per atom
Space group   I-42d (122)
Density of states at the Fermi level   2.9 states/eV/f.u.

Quantum ESPRESSO input file:
```
&SYSTEM
  ibrav = 0, nat = 8, ntyp = 3
/
ATOMIC_SPECIES
La 138.91 La.upf
Zn 65.41 Zn.upf
Ge 72.64 Ge.upf
CELL_PARAMETERS angstrom
-4.0455 4.0455 3.7651
4.0455 -4.0455 3.7651
4.0455 4.0455 -3.7651
ATOMIC_POSITIONS angstrom
La 2.0227 1.9460 -0.9413
La 2.0994 -2.0227 4.7064
La 2.0227 2.0994 2.8238
La 1.9460 6.0682 0.9413
Zn 4.0455 0.0000 1.8826
Zn 0.0000 0.0000 3.7651
Ge 0.0000 0.0000 0.0000
Ge 0.0000 4.0455 1.8826
```

***

Density functional theory data (PBE) for a relaxed structure of NaMoN2. Values from VASP.

Energy relative to the elements, uncorrected   -366 meV per atom
Space group   Pna2_1 (33)
Polymorph energy (0 for the lowest one)   0 meV/atom
Density of states at the Fermi level   1.9 states/eV/f.u.

Quantum ESPRESSO input file:
```
&SYSTEM
  ibrav = 0, nat = 16, ntyp = 3
/
ATOMIC_SPECIES
Na 22.99 Na.upf
Mo 95.94 Mo.upf
N 14.01 N.upf
CELL_PARAMETERS angstrom
5.9731 0.0000 0.0000
0.0000 7.3395 0.0000
0.0000 0.0000 5.7549
ATOMIC_POSITIONS angstrom
Na 0.5137 0.9038 0.0000
Na 2.4729 4.5735 2.8775
Na 3.5002 2.7659 0.0000
Na 5.4594 6.4357 2.8775
Mo 0.4020 4.5992 0.0850
Mo 2.5845 0.9295 2.9625
Mo 3.3886 6.4100 0.0850
Mo 5.5711 2.7402 2.9625
N 0.1955 4.2173 1.9412
N 0.7137 1.2474 2.5926
N 2.2728 4.9171 5.4700
N 2.7911 0.5475 4.8187
N 3.1820 6.7919 1.9412
N 3.7003 2.4223 2.5926
N 5.2594 6.0921 5.4700
N 5.7776 3.1222 4.8187
```

***

Density functional theory data (PBE) for a relaxed structure of BC5. Values from VASP.

ΔH_f (0 K)   0.280 eV per atom
Space group   C2 (5)
Polymorph energy (0 for the lowest one)   71 meV/atom
Density of states at the Fermi level   1.3 states/eV/f.u.

Quantum ESPRESSO input file:
```
&SYSTEM
  ibrav = 0, nat = 12, ntyp = 2
/
ATOMIC_SPECIES
B 10.81 B.upf
C 12.01 C.upf
CELL_PARAMETERS angstrom
4.0467 -1.8173 0.0000
4.0467 1.8173 0.0000
-1.5614 0.0000 4.9185
ATOMIC_POSITIONS angstrom
B 1.2227 0.0000 0.4019
B 5.3092 0.0000 4.5166
C 2.4782 0.9270 0.8887
C 1.6469 0.8839 3.2439
C 0.4376 -0.0006 2.8534
C 4.0538 0.9270 4.0298
C 4.8850 0.8839 1.6746
C 2.8729 0.0064 3.6748
C 3.6591 0.0064 1.2437
C 4.0467 -0.8235 0.0000
C 3.2660 -0.9167 2.4592
C 6.0944 -0.0006 2.0651
```

***

Density functional theory data (PBE) for a relaxed structure of U2CrAg2S6. Values from VASP.

Energy relative to the elements, uncorrected   -815 meV per atom
Space group   C2/m (12)
Density of states at the Fermi level   16.1 states/eV/f.u.

Quantum ESPRESSO input file:
```
&SYSTEM
  ibrav = 0, nat = 11, ntyp = 4
/
ATOMIC_SPECIES
U 238.03 U.upf
Cr 52.00 Cr.upf
Ag 107.87 Ag.upf
S 32.06 S.upf
CELL_PARAMETERS angstrom
3.3483 -5.8349 0.0000
3.3483 5.8349 0.0000
-2.4021 0.0000 6.1185
ATOMIC_POSITIONS angstrom
U 3.3483 3.8832 0.0000
U 3.3483 -3.8832 0.0000
Cr 3.3483 0.0000 0.0000
Ag 2.1473 2.1059 3.0592
Ag 2.1473 -2.1059 3.0592
S -0.1186 1.8484 4.6945
S 1.2848 0.0000 1.3854
S -0.1186 -1.8484 4.6945
S 4.4133 1.8484 1.4239
S 3.0098 0.0000 4.7331
S 4.4133 -1.8484 1.4239
```

***

Density functional theory data (PBE) for a relaxed structure of TbPm2DyTm2. Values from VASP.

ΔH_f (0 K)   0.067 eV per atom
Space group   Pnnm (58)
Density of states at the Fermi level   10.7 states/eV/f.u.

Quantum ESPRESSO input file:
```
&SYSTEM
  ibrav = 0, nat = 12, ntyp = 4
/
ATOMIC_SPECIES
Tb 158.93 Tb.upf
Pm 145.00 Pm.upf
Dy 162.50 Dy.upf
Tm 168.93 Tm.upf
CELL_PARAMETERS angstrom
7.0140 0.0000 0.0000
0.0000 9.7136 0.0000
0.0000 0.0000 5.6240
ATOMIC_POSITIONS angstrom
Tb 0.0000 0.0000 0.0000
Tb 3.5070 4.8568 2.8120
Pm 1.7568 1.6241 2.8120
Pm 1.7503 6.4809 0.0000
Pm 5.2638 3.2327 0.0000
Pm 5.2573 8.0895 2.8120
Dy 0.0000 4.8568 2.8120
Dy 3.5070 0.0000 0.0000
Tm 1.7547 3.2409 0.0000
Tm 1.7523 8.0977 2.8120
Tm 5.2617 1.6159 2.8120
Tm 5.2593 6.4727 0.0000
```

***

Density functional theory data (PBE) for a relaxed structure of CsTi2Cl7. Values from VASP.

Energy relative to the elements, uncorrected   -1691 meV per atom
Space group   P2/c (13)
Polymorph energy (0 for the lowest one)   26 meV/atom
Density of states at the Fermi level   5.4 states/eV/f.u.

Quantum ESPRESSO input file:
```
&SYSTEM
  ibrav = 0, nat = 20, ntyp = 3
/
ATOMIC_SPECIES
Cs 132.91 Cs.upf
Ti 47.87 Ti.upf
Cl 35.45 Cl.upf
CELL_PARAMETERS angstrom
7.4138 0.0000 0.0000
0.0000 6.2948 0.0000
-0.3777 0.0000 12.1873
ATOMIC_POSITIONS angstrom
Cs -0.0944 0.8095 3.0468
Cs -0.2832 5.4852 9.1405
Ti 2.9981 1.6453 6.9390
Ti 3.1869 4.6495 0.8454
Ti 3.8492 1.6453 11.3420
Ti 4.0381 4.6495 5.2483
Cl 0.9112 2.3310 7.5837
Cl 1.1000 3.9638 1.4901
Cl 1.7994 0.4887 12.1788
Cl 1.9882 5.8061 6.0851
Cl 2.7311 2.7045 4.7092
Cl 2.5423 3.5903 10.8028
Cl 3.4237 0.5789 9.1405
Cl 3.6125 5.7158 3.0468
Cl 4.4938 2.7045 1.3845
Cl 4.3050 3.5903 7.4782
Cl 5.0480 0.4887 6.1023
Cl 5.2368 5.8061 0.0086
Cl 5.9362 2.3310 10.6973
Cl 6.1250 3.9638 4.6036
```

***

Density functional theory data (PBE) for a relaxed structure of AcYSnRu. Values from VASP.

ΔH_f (0 K)   -0.204 eV per atom
Space group   F-43m (216)
Density of states at the Fermi level   2.8 states/eV/f.u.

Quantum ESPRESSO input file:
```
&SYSTEM
  ibrav = 0, nat = 4, ntyp = 4
/
ATOMIC_SPECIES
Ac 227.00 Ac.upf
Y 88.91 Y.upf
Sn 118.71 Sn.upf
Ru 101.07 Ru.upf
CELL_PARAMETERS angstrom
0.0000 3.7611 3.7611
3.7611 0.0000 3.7611
3.7611 3.7611 0.0000
ATOMIC_POSITIONS angstrom
Ac 0.0000 0.0000 0.0000
Y 3.7611 3.7611 3.7611
Sn 1.8806 1.8806 1.8806
Ru 5.6417 5.6417 5.6417
```

***

Density functional theory data (PBE) for a relaxed structure of BaBe2Rh. Values from VASP.

ΔH_f (0 K)   0.792 eV per atom
Space group   Cmmm (65)
Polymorph energy (0 for the lowest one)   983 meV/atom
Density of states at the Fermi level   1.4 states/eV/f.u.

Quantum ESPRESSO input file:
```
&SYSTEM
  ibrav = 0, nat = 4, ntyp = 3
/
ATOMIC_SPECIES
Ba 137.33 Ba.upf
Be 9.01 Be.upf
Rh 102.91 Rh.upf
CELL_PARAMETERS angstrom
2.8130 -3.9062 0.0000
2.8130 3.9062 0.0000
0.0000 0.0000 3.1901
ATOMIC_POSITIONS angstrom
Ba 0.0000 0.0000 0.0000
Be 1.4065 1.9531 1.5951
Be 1.4065 -1.9531 1.5951
Rh 2.8130 0.0000 0.0000
```

***

Density functional theory data (PBE) for a relaxed structure of SbRh2Se. Values from VASP.

Energy relative to the elements, uncorrected   77 meV per atom
Space group   C2/m (12)
Density of states at the Fermi level   4.0 states/eV/f.u.

Quantum ESPRESSO input file:
```
&SYSTEM
  ibrav = 0, nat = 4, ntyp = 3
/
ATOMIC_SPECIES
Sb 121.76 Sb.upf
Rh 102.91 Rh.upf
Se 78.96 Se.upf
CELL_PARAMETERS angstrom
2.8931 -4.1911 0.0000
2.8931 4.1911 0.0000
-2.8651 0.0000 3.1133
ATOMIC_POSITIONS angstrom
Sb 0.0000 0.0000 0.0000
Rh 0.0140 2.0956 1.5566
Rh 0.0140 -2.0956 1.5566
Se 2.8931 0.0000 0.0000
```

***

Final energy (computed, eV/f.u.): -30.84; -67.94; -127.63; -16.72; -30.27; -51.12; -71.63; -27.27; -46.48; -24.67; -13.56; -22.00